1.
Be2TlSb | PBE | optimized geometry

Values from the calculation:
Raw formation energy (eV per atom): 0.733

Lattice parameters (Å, degrees): 6.3556 4.7731 3.5732 78.10 75.37 124.84
Positions (direct):
Be  0.5000  0.0000  0.5000
Be  0.0000  0.0000  0.0000
Sb  0.0000  0.5000  0.5000
Tl  0.5000  0.5000  0.0000

=====

2.
Be3TlSb | PBE | optimized geometry

Values from the calculation:
Raw formation energy (eV per atom): 1.116

Lattice parameters (Å, degrees): 4.7819 4.7819 4.7819 90.00 90.00 90.00
Positions (direct):
Tl  0.5000  0.5000  0.5000
Be  0.0000  0.5000  0.0000
Be  0.5000  0.0000  0.0000
Be  0.0000  0.0000  0.5000
Sb  0.0000  0.0000  0.0000